Record 1
First-principles (GGA-PBE) data for a relaxed structure of K2AgGeTe4, as listed in Alexandria via LeMat-Bulk.

Values from the calculation:
Calculated volume = 38.9 Å³/atom
Density of states at the Fermi level = 14.8 states/eV per cell
Crystal system = orthorhombic
Magnetization = 0.0 μB per cell
Formation energy from raw total energies = -0.4146 eV/atom

Unit cell a=7.0767 b=14.8949 c=23.5992 alpha=90.00 beta=90.00 gamma=90.00
Space group Fddd (No. 70, origin choice 2)
Unique sites:
K  0.1250  0.1250  0.3054 [16 per cell]
Ag  0.1250  0.1250  0.1250 [8 per cell]
Ge  0.1250  0.1250  0.6250 [8 per cell]
Te  0.1040  0.2688  0.8189 [32 per cell]

Record 2
First-principles (GGA-PBE) data for a relaxed structure of KAgGe2Te, as listed in Alexandria via LeMat-Bulk.

Values from the calculation:
Calculated volume = 34.8 Å³/atom
Density of states at the Fermi level = 3.5 states/eV per cell
Crystal system = tetragonal
Magnetization = 0.0 μB per cell
Formation energy from raw total energies = 0.5012 eV/atom

Unit cell a=5.7190 b=5.7190 c=5.3145 alpha=90.00 beta=90.00 gamma=90.00
Space group P4/mmm (No. 123)
Unique sites:
K  0.0000  0.0000  0.0000 [1 per cell]
Ag  0.5000  0.5000  0.0000 [1 per cell]
Ge  0.0000  0.5000  0.5000 [2 per cell]
Te  0.5000  0.5000  0.5000 [1 per cell]

Record 3
First-principles (GGA-PBE) data for a relaxed structure of K2AgGeTe, as listed in Alexandria via LeMat-Bulk.

Values from the calculation:
Calculated volume = 35.9 Å³/atom
Density of states at the Fermi level = 2.2 states/eV per cell
Crystal system = tetragonal
Magnetization = 0.0 μB per cell
Formation energy from raw total energies = -0.0664 eV/atom

Unit cell a=6.0660 b=6.0660 c=4.8721 alpha=90.00 beta=90.00 gamma=90.00
Space group P4/mmm (No. 123)
Unique sites:
K  0.0000  0.5000  0.0000 [2 per cell]
Ag  0.0000  0.0000  0.0000 [1 per cell]
Ge  0.0000  0.0000  0.5000 [1 per cell]
Te  0.5000  0.5000  0.5000 [1 per cell]

Record 4
First-principles (GGA-PBE) data for a relaxed structure of KTlAg2Ge, as listed in Alexandria via LeMat-Bulk.

Values from the calculation:
Calculated volume = 29.5 Å³/atom
Energy relative to the elements = 0.095 eV per atom
Density of states at the Fermi level = 1.0 states/eV per cell
Crystal system = tetragonal
Magnetization = 0.0 μB per cell

Unit cell a=5.0722 b=5.0722 c=5.7327 alpha=90.00 beta=90.00 gamma=90.00
Space group P4/mmm (No. 123)
Unique sites:
K  0.0000  0.0000  0.0000 [1 per cell]
Tl  0.5000  0.5000  0.0000 [1 per cell]
Ag  0.0000  0.5000  0.5000 [2 per cell]
Ge  0.5000  0.5000  0.5000 [1 per cell]

Q: density of states at the Fermi level of number 1 (K2AgGeTe4)?
A: 14.8 states/eV per cell

Q: What is the formula in the third record?
A: K2AgGeTe

Copy entry 2 word for word.
First-principles (GGA-PBE) data for a relaxed structure of KAgGe2Te, as listed in Alexandria via LeMat-Bulk.

Values from the calculation:
Calculated volume = 34.8 Å³/atom
Density of states at the Fermi level = 3.5 states/eV per cell
Crystal system = tetragonal
Magnetization = 0.0 μB per cell
Formation energy from raw total energies = 0.5012 eV/atom

Unit cell a=5.7190 b=5.7190 c=5.3145 alpha=90.00 beta=90.00 gamma=90.00
Space group P4/mmm (No. 123)
Unique sites:
K  0.0000  0.0000  0.0000 [1 per cell]
Ag  0.5000  0.5000  0.0000 [1 per cell]
Ge  0.0000  0.5000  0.5000 [2 per cell]
Te  0.5000  0.5000  0.5000 [1 per cell]

Q: calculated volume of number 1 (K2AgGeTe4)?
A: 38.9 Å³/atom